Compound: BeCr3Ge
Source: the Alexandria database
Functional: PBE-GGA
Structure: relaxed

The structure in POSCAR format:
```
BeCr3Ge
1.0
4.609 0.000 0.000
0.000 4.609 0.000
0.000 0.000 4.609
Be Cr Ge
1 3 1
direct
0.000 0.000 0.000
0.000 0.500 0.500
0.500 0.000 0.500
0.500 0.500 0.000
0.500 0.500 0.500
```

## Properties
Energy of formation from the pure elements = 1.34 eV per atom
Energy above the most stable polymorph in this dataset = 650 meV per atom
Space group = Pm-3m, No. 221